No. 1
A relaxed structure of Sm2YIr. Source: Alexandria via LeMat-Bulk, functional PBE-GGA.

Lattice parameters (Å, degrees): 3.9495 6.3410 9.4284 90.00 90.00 108.15
Closest atoms and distances in Å follow each position.
Fractional positions:
Sm: 0.1396 0.2797 0.4335  2 Ir 2.92
Sm: 0.8604 0.7203 0.5665  2 Ir 2.92
Sm: 0.8604 0.7203 0.9335  2 Ir 2.92
Sm: 0.1396 0.2797 0.0665  2 Ir 2.92
Y: 0.4219 0.8438 0.2500  2 Ir 2.89
Y: 0.5781 0.1562 0.7500  2 Ir 2.89
Ir: 0.7466 0.4932 0.2500  2 Y 2.89, 4 Sm 2.92
Ir: 0.2534 0.5068 0.7500  2 Y 2.89, 4 Sm 2.92

Results
Energy above the lowest structure with this stoichiometry, meV per atom: 41
DOS(E_F), states/eV per cell: 9.93
Mass density, kg/m³: 8612
Symmetry: Cmcm (63)


No. 2
A relaxed structure of Sm4Y3Ir4. Source: Alexandria via LeMat-Bulk, functional PBE-GGA.

Lattice parameters (Å, degrees): 3.8464 8.7415 9.4518 117.54 101.74 90.00
Closest atoms and distances in Å follow each position.
Fractional positions:
Sm: 0.3343 0.1450 0.6686  4 Ir 2.83-3.01
Sm: 0.6657 0.4764 0.3314  4 Ir 2.83-3.01
Sm: 0.6657 0.8550 0.3314  4 Ir 2.83-3.01
Sm: 0.3343 0.5236 0.6686  4 Ir 2.83-3.01
Y: 0.0985 0.0985 0.1970  6 Ir 3.07-3.13, 1 Y 3.21
Y: 0.9015 0.9015 0.8030  6 Ir 3.07-3.13, 1 Y 3.21
Y: 0.0000 0.5000 0.0000  4 Ir 3.15
Ir: 0.2547 0.7547 0.5094  6 Sm 2.92-3.01, 2 Y 3.07
Ir: 0.7453 0.2453 0.4906  6 Sm 2.92-3.01, 2 Y 3.07
Ir: 0.5000 0.7858 0.0000  2 Sm 2.83, 6 Y 3.13-3.15
Ir: 0.5000 0.2142 0.0000  2 Sm 2.83, 6 Y 3.13-3.15

Results
Total energy, hartree per atom: -0.267
DOS(E_F), states/eV per cell: 7.76
Mass density, kg/m³: 9911
Symmetry: Immm (71)


Question: Look up the DOS(E_F) of the second one.
Answer: 7.76 states/eV per cell


Question: Which value of DOS(E_F) does entry 1 give?
Answer: 9.93 states/eV per cell